Computed, not measured: an optimized crystal structure of VN2Cl at the GGA-PBE level of DFT.

E, Ha/atom: -0.192
V, Å³/atom: 10.0
Density of states at the Fermi level, states/eV/cell: 4.16
Formation energy from raw total energies, eV/atom: 1.6770
ΔE to the lowest computed polymorph, eV/atom: 1.5668
Spin magnetization, μB/f.u.: 0.01
Symmetry: No. 225

abc: 3.8351 3.8351 3.8351
angles: 60.00 60.00 60.00
Closest atoms and distances in Å follow each position.
Fractional positions:
V (0.5000, 0.5000, 0.5000)  8 N 2.35
Cl (0.0000, 0.0000, 0.0000)  8 N 2.35
N (0.2500, 0.2500, 0.2500)  4 Cl 2.35, 4 V 2.35
N (0.7500, 0.7500, 0.7500)  4 Cl 2.35, 4 V 2.35